Here is an optimized crystal structure of Ti2FePt2 from Alexandria via LeMat-Bulk. Energies are from PBE.

Results
- Spin magnetization: 0.00 μB/cell

Geometry as CIF:
```
data_Ti2FePt2
_chemical_formula_sum 'Ti4 Fe2 Pt4'
_cell_length_a 7.0840
_cell_length_b 7.0840
_cell_length_c 3.1491
_cell_angle_alpha 90.00
_cell_angle_beta 90.00
_cell_angle_gamma 90.00
_space_group_name_H-M_alt 'P 4/m b m'
_space_group_IT_number 127
_space_group_name_Hall '-P 4 2ab'
loop_
_atom_site_label
_atom_site_fract_x
_atom_site_fract_y
_atom_site_fract_z
_atom_site_occupancy
Ti1 0.1689 0.3311 0.0000 1
Fe1 0.0000 0.0000 0.5000 1
Pt1 0.1357 0.6357 0.5000 1
```

Here is an optimized crystal structure of VInTc2 from Alexandria via LeMat-Bulk. Energies are from PBE.

Results
- Spin magnetization: 0.00 μB/cell

Geometry as CIF:
```
data_VInTc2
_chemical_formula_sum 'V1 In1 Tc2'
_cell_length_a 3.0856
_cell_length_b 3.0856
_cell_length_c 6.6072
_cell_angle_alpha 90.00
_cell_angle_beta 90.00
_cell_angle_gamma 90.00
_space_group_name_H-M_alt 'P 4/m m m'
_space_group_IT_number 123
_space_group_name_Hall '-P 4 2'
loop_
_atom_site_label
_atom_site_fract_x
_atom_site_fract_y
_atom_site_fract_z
_atom_site_occupancy
V1 0.0000 0.0000 0.0000 1
In1 0.0000 0.0000 0.5000 1
Tc1 0.5000 0.5000 0.2144 1
```

Here is an optimized crystal structure of NdSc2CdHg4 from Alexandria via LeMat-Bulk. Energies are from PBE.

Results
- Spin magnetization: 0.00 μB/cell

Geometry as CIF:
```
data_NdSc2CdHg4
_chemical_formula_sum 'Nd3 Sc6 Cd3 Hg12'
_cell_length_a 4.9384
_cell_length_b 4.9384
_cell_length_c 27.1807
_cell_angle_alpha 90.00
_cell_angle_beta 90.00
_cell_angle_gamma 120.00
_space_group_name_H-M_alt 'R -3 m'
_space_group_IT_number 166
_space_group_name_Hall '-R 3 2"'
loop_
_atom_site_label
_atom_site_fract_x
_atom_site_fract_y
_atom_site_fract_z
_atom_site_occupancy
Nd1 0.0000 0.0000 0.0000 1
Sc1 0.0000 0.0000 0.2378 1
Cd1 0.0000 0.0000 0.5000 1
Hg1 0.0000 0.0000 0.1234 1
Hg2 0.0000 0.0000 0.3855 1
```

Here is an optimized crystal structure of Tc3C2 from Alexandria via LeMat-Bulk. Energies are from PBE.

Results
- Excess energy over the best structure of this formula in the dataset: 0.112 eV/atom
- Spin magnetization: 0.00 μB/cell

Geometry as CIF:
```
data_Tc3C2
_chemical_formula_sum 'Tc3 C2'
_cell_length_a 2.9046
_cell_length_b 2.9046
_cell_length_c 7.5098
_cell_angle_alpha 90.00
_cell_angle_beta 90.00
_cell_angle_gamma 120.00
_space_group_name_H-M_alt 'P -3 m 1'
_space_group_IT_number 164
_space_group_name_Hall '-P 3 2"'
loop_
_atom_site_label
_atom_site_fract_x
_atom_site_fract_y
_atom_site_fract_z
_atom_site_occupancy
Tc1 0.0000 0.0000 0.0000 1
Tc2 0.3333 0.6667 0.3574 1
C1 0.3333 0.6667 0.8123 1
```

Here is an optimized crystal structure of RbAlGe from Alexandria via LeMat-Bulk. Energies are from PBE.

Results
- Spin magnetization: 0.00 μB/cell

Geometry as CIF:
```
data_RbAlGe
_chemical_formula_sum 'Rb1 Al1 Ge1'
_cell_length_a 4.3243
_cell_length_b 4.3243
_cell_length_c 5.8770
_cell_angle_alpha 90.00
_cell_angle_beta 90.00
_cell_angle_gamma 120.00
_space_group_name_H-M_alt 'P -6 m 2'
_space_group_IT_number 187
_space_group_name_Hall 'P -6 2'
loop_
_atom_site_label
_atom_site_fract_x
_atom_site_fract_y
_atom_site_fract_z
_atom_site_occupancy
Rb1 0.0000 0.0000 0.0000 1
Al1 0.3333 0.6667 0.5000 1
Ge1 0.6667 0.3333 0.5000 1
```

Here is an optimized crystal structure of Nd2Ge6Ir from Alexandria via LeMat-Bulk. Energies are from PBE.

Results
- Excess energy over the best structure of this formula in the dataset: 0.009 eV/atom
- Spin magnetization: 0.00 μB/cell

Geometry as CIF:
```
data_Nd2Ge6Ir
_chemical_formula_sum 'Nd2 Ge6 Ir1'
_cell_length_a 6.1284
_cell_length_b 6.1284
_cell_length_c 5.4887
_cell_angle_alpha 90.00
_cell_angle_beta 90.00
_cell_angle_gamma 120.00
_space_group_name_H-M_alt 'P -3 m 1'
_space_group_IT_number 164
_space_group_name_Hall '-P 3 2"'
loop_
_atom_site_label
_atom_site_fract_x
_atom_site_fract_y
_atom_site_fract_z
_atom_site_occupancy
Nd1 0.3333 0.6667 0.3212 1
Ge1 0.1810 0.3620 0.8116 1
Ir1 0.0000 0.0000 0.5000 1
```

Here is an optimized crystal structure of Hf2Be2SnRu5 from Alexandria via LeMat-Bulk. Energies are from PBE.

Results
- Spin magnetization: 0.00 μB/cell

Geometry as CIF:
```
data_Hf2Be2SnRu5
_chemical_formula_sum 'Hf4 Be4 Sn2 Ru10'
_cell_length_a 9.5024
_cell_length_b 9.5024
_cell_length_c 3.2334
_cell_angle_alpha 90.00
_cell_angle_beta 90.00
_cell_angle_gamma 90.00
_space_group_name_H-M_alt 'P 4/m b m'
_space_group_IT_number 127
_space_group_name_Hall '-P 4 2ab'
loop_
_atom_site_label
_atom_site_fract_x
_atom_site_fract_y
_atom_site_fract_z
_atom_site_occupancy
Hf1 0.1749 0.3251 0.0000 1
Be1 0.1220 0.6220 0.0000 1
Sn1 0.0000 0.0000 0.0000 1
Ru1 0.0000 0.5000 0.5000 1
Ru2 0.0710 0.7843 0.5000 1
```

Here is an optimized crystal structure of CdSiSb2Te from Alexandria via LeMat-Bulk. Energies are from PBE.

Results
- Excess energy over the best structure of this formula in the dataset: 0.000 eV/atom
- Energy relative to the elements, uncorrected: 0.5173 eV per atom
- Spin magnetization: 0.00 μB/cell

Geometry as CIF:
```
data_CdSiSb2Te
_chemical_formula_sum 'Cd1 Si1 Sb2 Te1'
_cell_length_a 5.2838
_cell_length_b 5.2838
_cell_length_c 5.2656
_cell_angle_alpha 90.00
_cell_angle_beta 90.00
_cell_angle_gamma 90.00
_space_group_name_H-M_alt 'P 4/m m m'
_space_group_IT_number 123
_space_group_name_Hall '-P 4 2'
loop_
_atom_site_label
_atom_site_fract_x
_atom_site_fract_y
_atom_site_fract_z
_atom_site_occupancy
Cd1 0.0000 0.0000 0.0000 1
Si1 0.5000 0.5000 0.5000 1
Sb1 0.0000 0.5000 0.5000 1
Te1 0.5000 0.5000 0.0000 1
```

Electronic total energy? In order: -76.447; -32.546; -66.656; -48.102; -9.690; -50.542; -164.693; -15.138 eV for the cell shown.